Record 1
The following is a DFT calculation (PBE) of a relaxed structure of MgInBr.

abc: 3.935 5.833 16.260
angles: 90.00 90.00 90.00
Fractional positions:
Mg 0.000 0.000 0.000
Mg 0.000 0.500 0.500
Mg 0.500 0.000 0.500
Mg 0.500 0.500 0.000
In 0.000 0.000 0.344
In 0.000 0.500 0.844
In 0.500 0.000 0.844
In 0.500 0.500 0.344
Br 0.000 0.000 0.604
Br 0.000 0.500 0.104
Br 0.500 0.000 0.104
Br 0.500 0.500 0.604

- SG: Fmm2
- Energy relative to the elements, uncorrected: -0.42 eV/atom



Record 2
The following is a DFT calculation (PBE) of a relaxed structure of Mg2InBr.

abc: 11.578 3.328 5.321
angles: 90.00 91.46 90.00
Fractional positions:
Mg 0.000 0.000 0.000
Mg 0.242 0.500 0.407
Mg 0.500 0.500 0.000
Mg 0.742 0.000 0.407
In 0.263 0.000 0.903
In 0.763 0.500 0.903
Br 0.011 0.500 0.415
Br 0.511 0.000 0.415

- SG: Cm
- Energy relative to the elements, uncorrected: -0.30 eV/atom



Record 3
The following is a DFT calculation (PBE) of a relaxed structure of Mg2InBr.

abc: 7.672 7.689 3.361
angles: 90.00 90.00 90.00
Fractional positions:
Mg 0.250 0.250 0.000
Mg 0.250 0.750 0.000
Mg 0.750 0.250 0.000
Mg 0.750 0.750 0.000
In 0.000 0.000 0.500
In 0.500 0.500 0.500
Br 0.000 0.500 0.500
Br 0.500 0.000 0.500

- SG: Cmmm
- Energy relative to the elements, uncorrected: -0.26 eV/atom



Record 4
The following is a DFT calculation (PBE) of a relaxed structure of Mg2InBr.

abc: 3.507 3.507 7.972
angles: 90.00 90.00 90.00
Fractional positions:
Mg 0.000 0.000 0.235
Mg 0.000 0.000 0.765
In 0.500 0.500 0.000
Br 0.500 0.500 0.500

- SG: P4/mmm
- Energy relative to the elements, uncorrected: -0.32 eV/atom



Record 5
The following is a DFT calculation (PBE) of a relaxed structure of MgInBr2.

abc: 13.257 3.610 6.036
angles: 90.00 110.96 90.00
Fractional positions:
Mg 0.000 0.000 0.000
Mg 0.500 0.500 0.000
In 0.195 0.500 0.408
In 0.695 0.000 0.408
Br 0.069 0.500 0.772
Br 0.375 0.000 0.071
Br 0.569 0.000 0.772
Br 0.875 0.500 0.071

- SG: Cm
- Energy relative to the elements, uncorrected: -0.76 eV/atom



Record 6
The following is a DFT calculation (PBE) of a relaxed structure of Mg2InBr.

abc: 7.694 7.694 7.694
angles: 90.00 90.00 90.00
Fractional positions:
Mg 0.000 0.000 0.000
Mg 0.000 0.500 0.500
Mg 0.250 0.250 0.250
Mg 0.250 0.750 0.750
Mg 0.500 0.000 0.500
Mg 0.500 0.500 0.000
Mg 0.750 0.250 0.750
Mg 0.750 0.750 0.250
In 0.250 0.250 0.750
In 0.250 0.750 0.250
In 0.750 0.250 0.250
In 0.750 0.750 0.750
Br 0.000 0.000 0.500
Br 0.000 0.500 0.000
Br 0.500 0.000 0.000
Br 0.500 0.500 0.500

- SG: F-43m
- Energy relative to the elements, uncorrected: -0.02 eV/atom



Record 7
The following is a DFT calculation (PBE) of a relaxed structure of Mg2In2Br7.

abc: 8.036 8.036 6.809
angles: 96.41 96.41 103.18
Fractional positions:
Mg 0.235 0.235 0.410
Mg 0.765 0.765 0.590
In 0.304 0.696 0.000
In 0.696 0.304 0.000
Br 0.000 0.000 0.500
Br 0.082 0.421 0.219
Br 0.398 0.398 0.742
Br 0.421 0.082 0.219
Br 0.579 0.918 0.781
Br 0.602 0.602 0.258
Br 0.918 0.579 0.781

- SG: C2/m
- Energy relative to the elements, uncorrected: -1.02 eV/atom



Record 8
The following is a DFT calculation (PBE) of a relaxed structure of MgInBr4.

abc: 10.316 10.316 6.816
angles: 91.78 91.78 139.12
Fractional positions:
Mg 0.062 0.938 0.750
Mg 0.938 0.062 0.250
In 0.429 0.571 0.250
In 0.571 0.429 0.750
Br 0.088 0.393 0.403
Br 0.158 0.254 0.927
Br 0.254 0.158 0.427
Br 0.393 0.088 0.903
Br 0.607 0.912 0.097
Br 0.746 0.842 0.573
Br 0.842 0.746 0.073
Br 0.912 0.607 0.597

- SG: C2/c
- Energy relative to the elements, uncorrected: -0.97 eV/atom



Record 9
The following is a DFT calculation (PBE) of a relaxed structure of Mg2InBr.

abc: 3.751 3.751 24.927
angles: 90.00 90.00 120.00
Fractional positions:
Mg 0.000 0.000 0.250
Mg 0.000 0.000 0.750
Mg 0.333 0.667 0.417
Mg 0.333 0.667 0.917
Mg 0.667 0.333 0.083
Mg 0.667 0.333 0.583
In 0.000 0.000 0.000
In 0.333 0.667 0.667
In 0.667 0.333 0.333
Br 0.000 0.000 0.500
Br 0.333 0.667 0.167
Br 0.667 0.333 0.833

- SG: R-3m
- Energy relative to the elements, uncorrected: -0.37 eV/atom



Record 10
The following is a DFT calculation (PBE) of a relaxed structure of MgInBr2.

abc: 12.439 3.625 6.487
angles: 90.00 120.04 90.00
Fractional positions:
Mg 0.000 0.000 0.000
Mg 0.500 0.500 0.000
In 0.000 0.500 0.500
In 0.500 0.000 0.500
Br 0.172 0.500 0.175
Br 0.328 0.000 0.825
Br 0.672 0.000 0.175
Br 0.828 0.500 0.825

- SG: C2/m
- Energy relative to the elements, uncorrected: -0.75 eV/atom



Record 11
The following is a DFT calculation (PBE) of a relaxed structure of Mg2InBr.

abc: 3.507 4.886 5.992
angles: 90.00 90.00 90.00
Fractional positions:
Mg 0.000 0.000 0.000
Mg 0.500 0.500 0.424
In 0.500 0.500 0.917
Br 0.000 0.000 0.453

- SG: Pmm2
- Energy relative to the elements, uncorrected: -0.32 eV/atom



Record 12
The following is a DFT calculation (PBE) of a relaxed structure of MgInBr2.

abc: 3.884 6.547 9.747
angles: 90.00 90.00 90.00
Fractional positions:
Mg 0.000 0.000 0.000
Mg 0.500 0.500 0.000
In 0.000 0.500 0.765
In 0.500 0.000 0.765
Br 0.000 0.000 0.559
Br 0.000 0.500 0.170
Br 0.500 0.000 0.170
Br 0.500 0.500 0.559

- SG: Cmm2
- Energy relative to the elements, uncorrected: -0.65 eV/atom



| no. | total energy (eV per atom) |
| --- | --- |
| 1 | -2.422 |
| 2 | -2.204 |
| 3 | -2.162 |
| 4 | -2.215 |
| 5 | -2.675 |
| 6 | -1.915 |
| 7 | -2.870 |
| 8 | -2.803 |
| 9 | -2.265 |
| 10 | -2.672 |
| 11 | -2.220 |
| 12 | -2.566 |